1.
InFeTc2 | SCAN | PBEsol geometry

a b c (Å): 2.792 2.792 8.918
angles (deg): 80.99 80.99 60.00
Last column: magnetic moment on the atom in μB.
Element x y z (fractional)
In: 0.248 0.248 0.257  -0.07
Fe: 0.496 0.496 0.513  2.77
Tc: 0.006 0.006 0.981  0.03
Tc: 0.750 0.750 0.749  -0.05

Values from the calculation:
VASP energy in hartree per atom: -1.1076

***

2.
InFe2Te | SCAN | PBEsol geometry

a b c (Å): 3.147 3.147 6.293
angles (deg): 90.00 90.00 90.00
Last column: magnetic moment on the atom in μB.
Element x y z (fractional)
Te: 0.500 0.500 0.500  -0.06
In: 0.500 0.500 0.000  -0.15
Fe: 0.000 0.000 0.733  2.27
Fe: 0.000 0.000 0.267  2.27

Values from the calculation:
ΔE_f (raw) in eV per atom: 0.509

***

3.
InFe2Te | SCAN | PBEsol geometry

a b c (Å): 3.119 3.119 8.050
angles (deg): 78.83 78.83 60.00
Last column: magnetic moment on the atom in μB.
Element x y z (fractional)
Fe: 0.254 0.254 0.239  2.71
Fe: 0.746 0.746 0.761  2.71
Te: 0.000 0.000 0.000  -0.07
In: 0.500 0.500 0.500  -0.06

Values from the calculation:
ΔE_f (raw) in eV per atom: 0.482

***

V
In order: 14.81 15.58 16.53
Unit: A^3/atom
Magnetic moment
In order: 2.63 4.06 5.12
Unit: Bohr magnetons per cell
Fermi-level density of states
In order: 0.607 1.057 0.593
Unit: states/eV/atom